[1]
MnFe2Pt3: optimized geometry, GGA-PBE.

As for the spin magnetization: 11.3 Bohr magnetons per cell. For the energy relative to the elements, the calculation gives -0.19 eV per atom.

abc: 3.2307 3.2307 8.4141
angles: 90.00 90.00 90.00
Space group P4/mmm (No. 123)
Inequivalent atoms, fractional coordinates:
1 Mn 0.0000 0.0000 0.0000 [1 per cell]
2 Fe 0.0000 0.0000 0.3458 [2 per cell]
3 Pt 0.5000 0.5000 0.1719 [2 per cell]
4 Pt 0.5000 0.5000 0.5000 [1 per cell]

=====

[2]
Mn3FePt4: optimized geometry, GGA-PBE.

As for the spin magnetization: 32.4 Bohr magnetons per cell. For the energy relative to the elements, the calculation gives -0.29 eV per atom.

abc: 9.0244 5.6848 4.6254
angles: 90.00 90.00 90.00
Space group Pmma (No. 51)
Inequivalent atoms, fractional coordinates:
1 Mn 0.0000 0.0000 0.0000 [2 per cell]
2 Mn 0.2500 0.0000 0.4024 [2 per cell]
3 Mn 0.2500 0.5000 0.3973 [2 per cell]
4 Fe 0.0000 0.5000 0.0000 [2 per cell]
5 Pt 0.0000 0.2521 0.5000 [4 per cell]
6 Pt 0.2500 0.2520 0.8980 [4 per cell]

=====

Question: Which of these has the highest energy relative to the elements?
Answer: MnFe2Pt3